The following is a DFT calculation (GGA+U) of a relaxed structure of NiBiC2F.

## Properties
V	21.35	Å³ per atom
theoretical density	4834	kg/m³
electronic total energy	-3.046	eV/atom

a = 4.459 Å, b = 5.369 Å, c = 4.459 Å
α = 90.00°, β = 90.00°, γ = 90.00°
Each line ends with the local moment (μB).
Fractional positions:
Bi  0.000  0.000  0.000  -0.09
Ni  0.000  0.500  0.000  0.97
F  0.500  0.500  0.500  0.05
C  0.000  0.000  0.500  0.23
C  0.500  0.000  0.000  0.36